Here is a relaxed structure of Y3ScF from the Alexandria database. Energies are from GGA-PBE.

abc: 5.5790 5.5790 5.5790
angles: 90.00 90.00 90.00
Closest atoms and distances in Å follow each position.
Atoms (fractional coordinates):
Y1 0.0000 0.0000 0.5000  2 Sc 2.79
Y2 0.0000 0.5000 0.0000  2 Sc 2.79
Y3 0.5000 0.0000 0.0000  2 Sc 2.79
Sc1 0.0000 0.0000 0.0000  6 Y 2.79
F1 0.5000 0.5000 0.5000  12 Y 3.94

Results
Space-group type: No. 221
Energy above the lowest structure with this stoichiometry in meV per atom: 1348

***

Here is a relaxed structure of Y2ScF from the Alexandria database. Energies are from GGA-PBE.

abc: 6.4589 6.4589 6.4589
angles: 111.71 111.71 105.07
Closest atoms and distances in Å follow each position.
Atoms (fractional coordinates):
Y1 0.0095 0.6250 0.8845  2 F 2.28
Y2 0.3750 0.2595 0.3845  2 F 2.28
Y3 0.7405 0.1250 0.1155  2 F 2.28
Y4 0.8750 0.9905 0.6155  2 F 2.28
Sc1 0.2500 0.7500 0.5000  8 Y 3.36-3.59
Sc2 0.5000 0.5000 0.0000  8 Y 3.36-3.59
F1 0.0000 0.0000 0.0000  4 Y 2.28
F2 0.7500 0.2500 0.5000  4 Y 2.28

Results
Space-group type: No. 122
Energy above the lowest structure with this stoichiometry in meV per atom: 75

***

Here is a relaxed structure of Y2ScF from the Alexandria database. Energies are from GGA-PBE.

abc: 5.2774 5.2774 5.2774
angles: 60.00 60.00 60.00
Closest atoms and distances in Å follow each position.
Atoms (fractional coordinates):
Y1 0.2500 0.2500 0.2500  4 F 3.23, 4 Sc 3.23
Y2 0.7500 0.7500 0.7500  4 F 3.23, 4 Sc 3.23
Sc1 0.0000 0.0000 0.0000  8 Y 3.23
F1 0.5000 0.5000 0.5000  8 Y 3.23

Results
Space-group type: No. 225
Energy above the lowest structure with this stoichiometry in meV per atom: 962

***

Here is a relaxed structure of Y3ScF from the Alexandria database. Energies are from GGA-PBE.

abc: 4.9773 4.9773 4.9773
angles: 90.00 90.00 90.00
Closest atoms and distances in Å follow each position.
Atoms (fractional coordinates):
Y1 0.0000 0.0000 0.5000  2 F 2.49
Y2 0.0000 0.5000 0.0000  2 F 2.49
Y3 0.5000 0.0000 0.0000  2 F 2.49
Sc1 0.5000 0.5000 0.5000  12 Y 3.52
F1 0.0000 0.0000 0.0000  6 Y 2.49

Results
Space-group type: No. 221
Energy above the lowest structure with this stoichiometry in meV per atom: 0

***

Here is a relaxed structure of ScZnF3 from the Alexandria database. Energies are from GGA-PBE.

abc: 4.2050 4.2050 4.2050
angles: 90.00 90.00 90.00
Closest atoms and distances in Å follow each position.
Atoms (fractional coordinates):
Sc1 0.0000 0.0000 0.0000  6 F 2.10
Zn1 0.5000 0.5000 0.5000  12 F 2.97
F1 0.0000 0.0000 0.5000  2 Sc 2.10
F2 0.0000 0.5000 0.0000  2 Sc 2.10
F3 0.5000 0.0000 0.0000  2 Sc 2.10

Results
Space-group type: No. 221
Energy above the lowest structure with this stoichiometry in meV per atom: 0

***

Here is a relaxed structure of ScZn3F from the Alexandria database. Energies are from GGA-PBE.

abc: 4.4572 4.4572 4.4572
angles: 90.00 90.00 90.00
Closest atoms and distances in Å follow each position.
Atoms (fractional coordinates):
Sc1 0.0000 0.0000 0.0000  12 Zn 3.15
Zn1 0.0000 0.5000 0.5000  2 F 2.23
Zn2 0.5000 0.0000 0.5000  2 F 2.23
Zn3 0.5000 0.5000 0.0000  2 F 2.23
F1 0.5000 0.5000 0.5000  6 Zn 2.23

Results
Space-group type: No. 221
Energy above the lowest structure with this stoichiometry in meV per atom: 0

***

Here is a relaxed structure of Sc2ZnF from the Alexandria database. Energies are from GGA-PBE.

abc: 9.3792 9.3792 9.3792
angles: 18.62 18.62 18.62
Closest atoms and distances in Å follow each position.
Atoms (fractional coordinates):
Sc1 0.1031 0.1031 0.1031  3 F 2.48
Sc2 0.8969 0.8969 0.8969  3 F 2.48
Zn1 0.0000 0.0000 0.0000  2 Sc 2.85, 6 Zn 3.04
F1 0.5000 0.5000 0.5000  6 Sc 2.48

Results
Space-group type: No. 166
Energy above the lowest structure with this stoichiometry in meV per atom: 451

***

Here is a relaxed structure of ScZnF4 from the Alexandria database. Energies are from GGA-PBE.

abc: 5.2770 5.2770 7.2778
angles: 122.36 122.36 35.30
Closest atoms and distances in Å follow each position.
Atoms (fractional coordinates):
Sc1 0.0000 0.0000 0.0000  6 F 2.03-2.06
Zn1 0.5000 0.5000 0.5000  4 F 2.30
F1 0.0322 0.0322 0.3017  1 Sc 2.03
F2 0.3454 0.3454 0.9028  2 Sc 2.06
F3 0.6546 0.6546 0.0972  2 Sc 2.06
F4 0.9678 0.9678 0.6983  1 Sc 2.03

Results
Space-group type: No. 12

***

Here is a relaxed structure of Sc2ZnF from the Alexandria database. Energies are from GGA-PBE.

abc: 5.7554 5.7554 5.7554
angles: 110.54 110.54 107.35
Closest atoms and distances in Å follow each position.
Atoms (fractional coordinates):
Sc1 0.0454 0.1250 0.4204  2 F 2.16
Sc2 0.3750 0.9546 0.0796  2 F 2.16
Sc3 0.7046 0.6250 0.5796  2 F 2.16
Sc4 0.8750 0.2954 0.9204  2 F 2.16
Zn1 0.2500 0.7500 0.5000  4 Sc 2.84
Zn2 0.5000 0.5000 0.0000  4 Sc 2.84
F1 0.0000 0.0000 0.0000  4 Sc 2.16
F2 0.7500 0.2500 0.5000  4 Sc 2.16

Results
Space-group type: No. 122
Energy above the lowest structure with this stoichiometry in meV per atom: 112

***

Here is a relaxed structure of Sc2ZnF8 from the Alexandria database. Energies are from GGA-PBE.

abc: 5.4301 5.4301 5.0816
angles: 101.43 101.43 74.83
Closest atoms and distances in Å follow each position.
Atoms (fractional coordinates):
Sc1 0.1806 0.1806 0.4319  7 F 1.99-2.18
Sc2 0.8194 0.8194 0.5681  7 F 1.99-2.18
Zn1 0.5000 0.5000 0.0000  6 F 1.94-2.14
F1 0.0629 0.0629 0.7451  2 Sc 2.07-2.09
F2 0.1576 0.5472 0.7043  2 Sc 2.13-2.18, 1 Zn 2.14
F3 0.3395 0.3395 0.2082  1 Zn 1.94, 1 Sc 1.99
F4 0.4528 0.8424 0.2957  2 Sc 2.13-2.18, 1 Zn 2.14
F5 0.5472 0.1576 0.7043  2 Sc 2.13-2.18, 1 Zn 2.14
F6 0.6605 0.6605 0.7918  1 Zn 1.94, 1 Sc 1.99
F7 0.8424 0.4528 0.2957  2 Sc 2.13-2.18, 1 Zn 2.14
F8 0.9371 0.9371 0.2549  2 Sc 2.07-2.09

Results
Space-group type: No. 12

***

Here is a relaxed structure of ScZn3F from the Alexandria database. Energies are from GGA-PBE.

abc: 5.4984 5.4984 5.4984
angles: 90.00 90.00 90.00
Closest atoms and distances in Å follow each position.
Atoms (fractional coordinates):
Sc1 0.0000 0.0000 0.0000  6 Zn 2.75
Zn1 0.0000 0.0000 0.5000  2 Sc 2.75
Zn2 0.0000 0.5000 0.0000  2 Sc 2.75
Zn3 0.5000 0.0000 0.0000  2 Sc 2.75
F1 0.5000 0.5000 0.5000  12 Zn 3.89

Results
Space-group type: No. 221
Energy above the lowest structure with this stoichiometry in meV per atom: 762

***

Here is a relaxed structure of Sc2ZnF from the Alexandria database. Energies are from GGA-PBE.

abc: 4.6531 4.6531 4.6531
angles: 60.00 60.00 60.00
Closest atoms and distances in Å follow each position.
Atoms (fractional coordinates):
Sc1 0.2500 0.2500 0.2500  4 F 2.85, 4 Zn 2.85
Sc2 0.7500 0.7500 0.7500  4 F 2.85, 4 Zn 2.85
Zn1 0.0000 0.0000 0.0000  8 Sc 2.85
F1 0.5000 0.5000 0.5000  8 Sc 2.85

Results
Space-group type: No. 225
Energy above the lowest structure with this stoichiometry in meV per atom: 467

***

Here is a relaxed structure of ScZnF3 from the Alexandria database. Energies are from GGA-PBE.

abc: 4.1521 4.1521 4.1521
angles: 90.00 90.00 90.00
Closest atoms and distances in Å follow each position.
Atoms (fractional coordinates):
Sc1 0.0000 0.0000 0.0000  12 F 2.94
Zn1 0.5000 0.5000 0.5000  6 F 2.08
F1 0.0000 0.5000 0.5000  2 Zn 2.08
F2 0.5000 0.0000 0.5000  2 Zn 2.08
F3 0.5000 0.5000 0.0000  2 Zn 2.08

Results
Space-group type: No. 221
Energy above the lowest structure with this stoichiometry in meV per atom: 914

***

Here is a relaxed structure of Sc2ZnF from the Alexandria database. Energies are from GGA-PBE.

abc: 8.4765 8.4765 8.4765
angles: 22.79 22.79 22.79
Closest atoms and distances in Å follow each position.
Atoms (fractional coordinates):
Sc1 0.0820 0.0820 0.0820  1 F 2.03
Sc2 0.9180 0.9180 0.9180  1 F 2.03
Zn1 0.5000 0.5000 0.5000  6 Sc 2.85
F1 0.0000 0.0000 0.0000  2 Sc 2.03

Results
Space-group type: No. 166
Energy above the lowest structure with this stoichiometry in meV per atom: 0

***

Here is a relaxed structure of Zr2ScF2 from the Alexandria database. Energies are from GGA-PBE.

abc: 6.2242 6.2242 6.2242
angles: 141.74 141.74 55.22
Closest atoms and distances in Å follow each position.
Atoms (fractional coordinates):
Zr1 0.2500 0.7500 0.5000  4 F 2.47
Zr2 0.7500 0.2500 0.5000  4 F 2.47
Sc1 0.0000 0.0000 0.0000  8 F 3.19, 8 Zr 3.43
F1 0.3756 0.3756 0.0000  4 Zr 2.47, 1 F 2.74
F2 0.6244 0.6244 0.0000  4 Zr 2.47, 1 F 2.74

Results
Space-group type: No. 139
Energy above the lowest structure with this stoichiometry in meV per atom: 61

***

Here is a relaxed structure of Zr2ScF from the Alexandria database. Energies are from GGA-PBE.

abc: 4.8917 4.8917 4.8917
angles: 60.00 60.00 60.00
Closest atoms and distances in Å follow each position.
Atoms (fractional coordinates):
Zr1 0.2500 0.2500 0.2500  4 F 3.00, 4 Sc 3.00
Zr2 0.7500 0.7500 0.7500  4 F 3.00, 4 Sc 3.00
Sc1 0.0000 0.0000 0.0000  8 Zr 3.00
F1 0.5000 0.5000 0.5000  8 Zr 3.00

Results
Space-group type: No. 225
Energy above the lowest structure with this stoichiometry in meV per atom: 804

***

Here is a relaxed structure of ZrSc2F11 from the Alexandria database. Energies are from GGA-PBE.

abc: 8.0845 8.0845 8.0845
angles: 122.56 106.42 100.32
Closest atoms and distances in Å follow each position.
Atoms (fractional coordinates):
Zr1 0.2500 0.2500 0.0000  8 F 2.13-2.16
Zr2 0.7500 0.7500 0.0000  8 F 2.13-2.16
Sc1 0.1914 0.6584 0.8498  7 F 2.05-2.22
Sc2 0.3086 0.1584 0.4670  7 F 2.05-2.22
Sc3 0.6914 0.8416 0.5330  7 F 2.05-2.22
Sc4 0.8086 0.3416 0.1502  7 F 2.05-2.22
F1 0.0000 0.5000 0.5000  2 F 2.09, 2 Sc 2.22
F2 0.0271 0.9571 0.2703  1 Sc 2.05, 1 Zr 2.13
F3 0.0584 0.3456 0.1343  1 Sc 2.05, 1 Zr 2.16
F4 0.1868 0.4571 0.9300  1 Sc 2.05, 1 Zr 2.13
F5 0.1965 0.3888 0.5853  1 F 2.09, 2 Sc 2.09
F6 0.2113 0.9241 0.8657  1 Sc 2.05, 1 Zr 2.16
F7 0.2887 0.1544 0.7127  1 Sc 2.05, 1 Zr 2.16
F8 0.3035 0.8888 0.1924  1 F 2.09, 2 Sc 2.09
F9 0.3132 0.2432 0.2703  1 Sc 2.05, 1 Zr 2.13
F10 0.4416 0.5759 0.2873  1 Sc 2.05, 1 Zr 2.16
F11 0.4729 0.7432 0.9300  1 Sc 2.05, 1 Zr 2.13
F12 0.5000 0.0000 0.5000  2 F 2.09, 2 Sc 2.22
F13 0.5271 0.2568 0.0700  1 Sc 2.05, 1 Zr 2.13
F14 0.5584 0.4241 0.7127  1 Sc 2.05, 1 Zr 2.16
F15 0.6868 0.7568 0.7297  1 Sc 2.05, 1 Zr 2.13
F16 0.6965 0.1112 0.8076  1 F 2.09, 2 Sc 2.09
F17 0.7113 0.8456 0.2873  1 Sc 2.05, 1 Zr 2.16
F18 0.7887 0.0759 0.1343  1 Sc 2.05, 1 Zr 2.16
F19 0.8035 0.6112 0.4147  1 F 2.09, 2 Sc 2.09
F20 0.8132 0.5429 0.0700  1 Sc 2.05, 1 Zr 2.13
F21 0.9416 0.6544 0.8657  1 Sc 2.05, 1 Zr 2.16
F22 0.9729 0.0429 0.7297  1 Sc 2.05, 1 Zr 2.13

Results
Space-group type: No. 72

***

Here is a relaxed structure of Zr2ScF2 from the Alexandria database. Energies are from GGA-PBE.

abc: 8.1287 8.1287 2.9627
angles: 90.00 90.00 90.00
Closest atoms and distances in Å follow each position.
Atoms (fractional coordinates):
Zr1 0.2491 0.2509 0.0000  2 F 2.22
Zr2 0.2509 0.7509 0.0000  2 F 2.22
Zr3 0.7491 0.2491 0.0000  2 F 2.22
Zr4 0.7509 0.7491 0.0000  2 F 2.22
Sc1 0.0000 0.0000 0.5000  2 Sc 2.96, 8 Zr 3.23, 4 F 3.31
Sc2 0.5000 0.5000 0.5000  2 Sc 2.96, 8 Zr 3.23, 4 F 3.31
F1 0.1075 0.6075 0.5000  2 Zr 2.22, 1 F 2.47
F2 0.3925 0.1075 0.5000  2 Zr 2.22, 1 F 2.47
F3 0.6075 0.8925 0.5000  2 Zr 2.22, 1 F 2.47
F4 0.8925 0.3925 0.5000  2 Zr 2.22, 1 F 2.47

Results
Space-group type: No. 127
Energy above the lowest structure with this stoichiometry in meV per atom: 0

***

Here is a relaxed structure of Zr2ScF from the Alexandria database. Energies are from GGA-PBE.

abc: 6.0228 6.0228 6.0228
angles: 102.52 102.52 124.50
Closest atoms and distances in Å follow each position.
Atoms (fractional coordinates):
Zr1 0.0317 0.1250 0.4067  2 F 2.33
Zr2 0.3750 0.9683 0.0933  2 F 2.33
Zr3 0.7183 0.6250 0.5933  2 F 2.33
Zr4 0.8750 0.2817 0.9067  2 F 2.33
Sc1 0.2500 0.7500 0.5000  2 F 2.80, 4 Zr 3.06
Sc2 0.5000 0.5000 0.0000  2 F 2.80, 4 Zr 3.06
F1 0.0000 0.0000 0.0000  4 Zr 2.33
F2 0.7500 0.2500 0.5000  4 Zr 2.33

Results
Space-group type: No. 122
Energy above the lowest structure with this stoichiometry in meV per atom: 0

***

Here is a relaxed structure of ZrSc3F from the Alexandria database. Energies are from GGA-PBE.

abc: 4.6157 4.6157 4.6157
angles: 90.00 90.00 90.00
Closest atoms and distances in Å follow each position.
Atoms (fractional coordinates):
Zr1 0.0000 0.0000 0.0000  12 Sc 3.26
Sc1 0.0000 0.5000 0.5000  2 F 2.31
Sc2 0.5000 0.0000 0.5000  2 F 2.31
Sc3 0.5000 0.5000 0.0000  2 F 2.31
F1 0.5000 0.5000 0.5000  6 Sc 2.31

Results
Space-group type: No. 221
Energy above the lowest structure with this stoichiometry in meV per atom: 0

***

Number 1: ρ 3.162 g cm⁻³, E -25.4 eV for the cell shown, E_form (uncorrected) 0.4445 eV/atom. Number 2: ρ 3.888 g cm⁻³, E -50.5 eV for the cell shown, E_form (uncorrected) -1.0328 eV/atom. Number 3: ρ 3.863 g cm⁻³, E -21.7 eV for the cell shown, E_form (uncorrected) -0.1458 eV/atom. Number 4: ρ 4.453 g cm⁻³, E -32.1 eV for the cell shown, E_form (uncorrected) -0.9040 eV/atom. Number 5: ρ 3.738 g cm⁻³, E -27.1 eV for the cell shown, E_form (uncorrected) -2.7681 eV/atom. Number 6: ρ 4.879 g cm⁻³, E -13.8 eV for the cell shown, E_form (uncorrected) -0.3496 eV/atom. Number 7: ρ 3.938 g cm⁻³, E -19.0 eV for the cell shown, E_form (uncorrected) -0.7911 eV/atom. Number 8: ρ 3.194 g cm⁻³, E -32.5 eV for the cell shown, E_form (uncorrected) -2.9089 eV/atom. Number 9: ρ 3.949 g cm⁻³, E -40.7 eV for the cell shown, E_form (uncorrected) -1.1300 eV/atom. Number 10: ρ 3.644 g cm⁻³, E -67.0 eV for the cell shown, E_form (uncorrected) -3.4594 eV/atom. Number 11: ρ 2.599 g cm⁻³, E -10.0 eV for the cell shown, E_form (uncorrected) 0.4119 eV/atom. Number 12: ρ 4.063 g cm⁻³, E -18.9 eV for the cell shown, E_form (uncorrected) -0.7748 eV/atom. Number 13: ρ 3.882 g cm⁻³, E -22.5 eV for the cell shown, E_form (uncorrected) -1.8540 eV/atom. Number 14: ρ 3.609 g cm⁻³, E -20.8 eV for the cell shown, E_form (uncorrected) -1.2421 eV/atom. Number 15: ρ 4.802 g cm⁻³, E -32.1 eV for the cell shown, E_form (uncorrected) -0.9837 eV/atom. Number 16: ρ 4.943 g cm⁻³, E -24.7 eV for the cell shown, E_form (uncorrected) 0.1464 eV/atom. Number 17: ρ 3.325 g cm⁻³, E -181.8 eV for the cell shown, E_form (uncorrected) -3.5082 eV/atom. Number 18: ρ 4.502 g cm⁻³, E -64.8 eV for the cell shown, E_form (uncorrected) -1.0443 eV/atom. Number 19: ρ 5.136 g cm⁻³, E -55.9 eV for the cell shown, E_form (uncorrected) -0.6573 eV/atom. Number 20: ρ 4.139 g cm⁻³, E -33.8 eV for the cell shown, E_form (uncorrected) -0.8802 eV/atom.